SmTlFeSe3: optimized geometry, GGA-PBE.

Lattice parameters (Å, degrees): 4.1470 7.7422 10.9829 90.00 90.00 74.47
Last column: nearest neighbours and their distance in Å.
Atoms (fractional coordinates):
Fe 0.5278 0.9445 0.2500  4 Se 2.43-2.52
Fe 0.4722 0.0555 0.7500  4 Se 2.43-2.52
Se 0.6270 0.7461 0.0744  1 Fe 2.43
Se 0.9316 0.1369 0.2500  2 Fe 2.52
Se 0.6270 0.7461 0.4256  1 Fe 2.43
Se 0.3730 0.2539 0.5744  1 Fe 2.43
Se 0.0684 0.8631 0.7500  2 Fe 2.52
Se 0.3730 0.2539 0.9256  1 Fe 2.43
Sm 0.0000 0.0000 0.0000  6 Se 2.92-2.93
Sm 0.0000 0.0000 0.5000  6 Se 2.92-2.93
Tl 0.2461 0.5078 0.2500  6 Se 3.34-3.46
Tl 0.7539 0.4922 0.7500  6 Se 3.34-3.46

Crystal system   orthorhombic
Space group   Cmcm, No. 63
E   -5.2404 eV per atom
Energy above the most stable polymorph in this dataset   11 meV per atom
Magnetization   8.0 Bohr magnetons per cell